The following is a DFT calculation (PBE) of a geometry-optimized Al2CuTe structure.

Cell lengths 3.6535, 3.6535, 6.2174 Å; angles 90.00, 90.00, 90.00 degrees
With the nearest neighbours (Å) after each atom.
Fractional positions:
Al (0.0000, 0.0000, 0.0000)  1 Cu 2.38
Al (0.5000, 0.5000, 0.3206)  4 Cu 2.61
Cu (0.0000, 0.0000, 0.3824)  5 Al 2.38-2.61
Te (0.5000, 0.5000, 0.8244)  6 Al 2.80-3.13

Values from the calculation:
Total DFT energy (no corrections), eV/atom: -3.57
Volume, Å³ per atom: 20.7
Formation energy without anion corrections, eV per atom: 0.11